No. 1
Entry from Alexandria via LeMat-Bulk: crystalline Sm2PaO6 at its relaxed geometry (GGA-PBE).

For the energy above the most stable polymorph in this dataset, the calculation gives 0.0 kJ/mol of atoms. The space group is Immm, No. 71. The value obtained for the total energy is -8.751 eV per atom. The formation energy from raw total energies comes out at -322.4 kJ/mol of atoms.

Geometry as POSCAR:
```
Sm2PaO6
1.0
-1.950 2.772 5.779
1.950 -2.772 5.779
1.950 2.772 -5.779
Sm Pa O
2 1 6
Direct
0.168 0.168 0.000
0.832 0.832 0.000
0.500 0.500 0.000
0.101 0.342 0.759
0.268 0.000 0.268
0.417 0.658 0.759
0.583 0.342 0.241
0.732 0.000 0.732
0.899 0.658 0.241
```

---

No. 2
Entry from Alexandria via LeMat-Bulk: crystalline Zr2MnPtN at its relaxed geometry (GGA-PBE).

The space group is P4/mmm, No. 123. The value obtained for the total energy is -9.064 eV per atom. The formation energy from raw total energies comes out at -90.4 kJ/mol of atoms.

Geometry as POSCAR:
```
Zr2MnPtN
1.0
4.544 0.000 0.000
0.000 4.544 0.000
0.000 0.000 3.687
Zr Mn Pt N
2 1 1 1
Direct
0.000 0.500 0.000
0.500 0.000 0.000
0.000 0.000 0.500
0.500 0.500 0.500
0.000 0.000 0.000
```

---

No. 3
Entry from Alexandria via LeMat-Bulk: crystalline LaPr2MgO at its relaxed geometry (GGA-PBE).

The space group is P4/mmm, No. 123. The value obtained for the total energy is -5.383 eV per atom. The formation energy from raw total energies comes out at -113.4 kJ/mol of atoms.

Geometry as POSCAR:
```
LaPr2MgO
1.0
5.087 0.000 0.000
0.000 5.087 0.000
0.000 0.000 5.088
La Pr Mg O
1 2 1 1
Direct
0.000 0.000 0.000
0.000 0.500 0.500
0.500 0.000 0.500
0.500 0.500 0.000
0.000 0.000 0.500
```

---

No. 4
Entry from Alexandria via LeMat-Bulk: crystalline Cu6Pd8Pt at its relaxed geometry (GGA-PBE).

For the energy above the most stable polymorph in this dataset, the calculation gives 0.7 kJ/mol of atoms. The formation energy from the elements is 158 meV per atom. The space group is P-3, No. 147. The value obtained for the total energy is -4.653 eV per atom.

Geometry as POSCAR:
```
Cu6Pd8Pt
1.0
7.616 0.000 0.000
-3.808 6.596 0.000
0.000 0.000 4.538
Cu Pd Pt
6 8 1
Direct
0.124 0.644 0.160
0.356 0.479 0.160
0.479 0.124 0.840
0.521 0.876 0.160
0.644 0.521 0.840
0.876 0.356 0.840
0.010 0.721 0.670
0.279 0.289 0.670
0.289 0.010 0.330
0.333 0.667 0.661
0.667 0.333 0.339
0.711 0.990 0.670
0.721 0.711 0.330
0.990 0.279 0.330
0.000 0.000 0.000
```

---

No. 5
Entry from Alexandria via LeMat-Bulk: crystalline LiSmPuTe3 at its relaxed geometry (GGA-PBE).

The space group is P2_1/m, No. 11. The value obtained for the total energy is -6.232 eV per atom. The formation energy from raw total energies comes out at -112.6 kJ/mol of atoms.

Geometry as POSCAR:
```
LiSmPuTe3
1.0
9.060 0.000 0.000
0.000 4.328 0.000
-2.116 0.000 9.318
Li Sm Pu Te
2 2 2 6
Direct
0.084 0.250 0.082
0.916 0.750 0.918
0.331 0.750 0.336
0.669 0.250 0.664
0.180 0.250 0.727
0.820 0.750 0.273
0.091 0.250 0.371
0.229 0.750 0.997
0.424 0.750 0.675
0.576 0.250 0.325
0.771 0.250 0.003
0.909 0.750 0.629
```

---

No. 6
Entry from Alexandria via LeMat-Bulk: crystalline Te2IrICl at its relaxed geometry (GGA-PBE).

For the energy above the most stable polymorph in this dataset, the calculation gives 118.8 kJ/mol of atoms. The space group is P4/mmm, No. 123. The value obtained for the total energy is -2.076 eV per atom. The formation energy from raw total energies comes out at 157.5 kJ/mol of atoms.

Geometry as POSCAR:
```
Te2IrICl
1.0
5.397 0.000 0.000
0.000 5.397 0.000
0.000 0.000 5.362
Te Ir I Cl
2 1 1 1
Direct
0.000 0.500 0.000
0.500 0.000 0.000
0.000 0.000 0.500
0.500 0.500 0.500
0.500 0.500 0.000
```

---

No. 7
Entry from Alexandria via LeMat-Bulk: crystalline ScTlCo2 at its relaxed geometry (GGA-PBE).

The formation energy from the elements is 39 meV per atom. The space group is R3m, No. 160. The value obtained for the total energy is -5.689 eV per atom.

Geometry as POSCAR:
```
ScTlCo2
1.0
1.935 1.117 5.634
-1.935 1.117 5.634
0.000 -2.234 5.634
Sc Tl Co
1 1 2
Direct
0.000 0.000 0.000
0.803 0.803 0.803
0.240 0.240 0.240
0.573 0.573 0.573
```

---

No. 8
Entry from Alexandria via LeMat-Bulk: crystalline NaHoSnF6 at its relaxed geometry (GGA-PBE).

The space group is P4_2nm, No. 102. The value obtained for the total energy is -5.539 eV per atom. The formation energy from raw total energies comes out at -307.9 kJ/mol of atoms.

Geometry as POSCAR:
```
NaHoSnF6
1.0
5.316 0.000 0.000
0.000 5.316 0.000
0.000 0.000 11.035
Na Ho Sn F
2 2 2 12
Direct
0.000 0.000 0.000
0.500 0.500 0.500
0.000 0.000 0.666
0.500 0.500 0.166
0.000 0.000 0.330
0.500 0.500 0.830
0.185 0.185 0.820
0.195 0.195 0.522
0.206 0.206 0.171
0.294 0.706 0.671
0.305 0.695 0.022
0.315 0.685 0.320
0.685 0.315 0.320
0.695 0.305 0.022
0.706 0.294 0.671
0.794 0.794 0.171
0.805 0.805 0.522
0.815 0.815 0.820
```

---

No. 9
Entry from Alexandria via LeMat-Bulk: crystalline Th5GaFe2 at its relaxed geometry (GGA-PBE).

The formation energy from the elements is -180 meV per atom. The space group is I4/mcm, No. 140. The value obtained for the total energy is -7.312 eV per atom.

Geometry as POSCAR:
```
Th5GaFe2
1.0
-3.851 3.851 6.644
3.851 -3.851 6.644
3.851 3.851 -6.644
Th Ga Fe
10 2 4
Direct
0.000 0.000 0.000
0.023 0.523 0.821
0.202 0.023 0.500
0.298 0.798 0.821
0.477 0.298 0.500
0.500 0.500 0.000
0.523 0.702 0.500
0.702 0.202 0.179
0.798 0.977 0.500
0.977 0.477 0.179
0.250 0.250 0.000
0.750 0.750 0.000
0.135 0.365 0.500
0.365 0.865 0.230
0.635 0.135 0.770
0.865 0.635 0.500
```

---

No. 10
Entry from Alexandria via LeMat-Bulk: crystalline USiPt2 at its relaxed geometry (GGA-PBE).

The space group is R-3m, No. 166. The value obtained for the total energy is -7.261 eV per atom. The formation energy from raw total energies comes out at -6.0 kJ/mol of atoms.

Geometry as POSCAR:
```
USiPt2
1.0
1.477 0.853 9.444
-1.477 0.853 9.444
0.000 -1.705 9.444
U Si Pt
1 1 2
Direct
0.000 0.000 0.000
0.500 0.500 0.500
0.103 0.103 0.103
0.897 0.897 0.897
```

---

No. 11
Entry from Alexandria via LeMat-Bulk: crystalline Sr2ZnCl at its relaxed geometry (GGA-PBE).

For the energy above the most stable polymorph in this dataset, the calculation gives 0.3 kJ/mol of atoms. The space group is C2/m, No. 12. The value obtained for the total energy is -2.538 eV per atom. The formation energy from raw total energies comes out at -88.5 kJ/mol of atoms.

Geometry as POSCAR:
```
Sr2ZnCl
1.0
3.751 -2.162 0.000
3.751 2.162 0.000
-2.512 0.000 8.116
Sr Zn Cl
2 1 1
Direct
0.248 0.248 0.243
0.752 0.752 0.757
0.500 0.500 0.000
0.000 0.000 0.500
```

---

No. 12
Entry from Alexandria via LeMat-Bulk: crystalline PPb3Se at its relaxed geometry (GGA-PBE).

For the energy above the most stable polymorph in this dataset, the calculation gives 0.0 kJ/mol of atoms. The space group is Pm-3m, No. 221. The value obtained for the total energy is -3.694 eV per atom. The formation energy from raw total energies comes out at 29.9 kJ/mol of atoms.

Geometry as POSCAR:
```
PPb3Se
1.0
5.493 0.000 0.000
0.000 5.493 0.000
0.000 0.000 5.493
P Pb Se
1 3 1
Direct
0.000 0.000 0.000
0.000 0.000 0.500
0.000 0.500 0.000
0.500 0.000 0.000
0.500 0.500 0.500
```

---

What did the third record say?
Entry from Alexandria via LeMat-Bulk: crystalline LaPr2MgO at its relaxed geometry (GGA-PBE).

The space group is P4/mmm, No. 123. The value obtained for the total energy is -5.383 eV per atom. The formation energy from raw total energies comes out at -113.4 kJ/mol of atoms.

Geometry as POSCAR:
```
LaPr2MgO
1.0
5.087 0.000 0.000
0.000 5.087 0.000
0.000 0.000 5.088
La Pr Mg O
1 2 1 1
Direct
0.000 0.000 0.000
0.000 0.500 0.500
0.500 0.000 0.500
0.500 0.500 0.000
0.000 0.000 0.500
```